A plane-wave DFT calculation with GGA+U was carried out for a relaxed BaCrAgO2 crystal.

```
5
Lattice="4.129 0.000 0.000 0.000 4.948 0.000 0.000 0.000 4.129" Properties=species:S:1:pos:R:3 pbc="T T T"
O 0.000 0.000 2.065
O 2.065 0.000 0.000
Cr 0.000 0.000 0.000
Ag 0.000 2.474 0.000
Ba 2.065 2.474 2.065
```

- E_tot (eV/atom) = -4.9359
- DOS(E_F) (states/eV per atom) = 0.5707